Computed, not measured: a relaxed structure of Na3Er3NbS8 at the GGA-PBE level of DFT.

Output
The size of the total moment is 1.02 μB/f.u. As for the volume: 23.3 Å³/atom. As for the raw total energy: -85.17 eV per cell. As for the formation energy without anion corrections: -1628.7 meV/atom.

a b c (Å): 8.1067 8.1067 8.1067
angles (deg): 56.88 56.88 56.88
Element x y z (fractional)
Na1 0.0000 0.5000 0.5000
Na2 0.5000 0.0000 0.5000
Na3 0.5000 0.5000 0.0000
Er1 0.0000 0.0000 0.5000
Er2 0.0000 0.5000 0.0000
Er3 0.5000 0.0000 0.0000
Nb1 0.5000 0.5000 0.5000
S1 0.2422 0.2422 0.2422
S2 0.2578 0.7282 0.7282
S3 0.2718 0.2718 0.7422
S4 0.2718 0.7422 0.2718
S5 0.7282 0.2578 0.7282
S6 0.7282 0.7282 0.2578
S7 0.7422 0.2718 0.2718
S8 0.7578 0.7578 0.7578

=====

Computed, not measured: a relaxed structure of TiCo3Sb at the GGA-PBE level of DFT.

Output
The size of the total moment is 3.50 μB/f.u. As for the volume: 18.8 Å³/atom. As for the raw total energy: -27.74 eV per cell. As for the formation energy without anion corrections: 1119.1 meV/atom.

a b c (Å): 4.5462 4.5462 4.5462
angles (deg): 90.00 90.00 90.00
Element x y z (fractional)
Ti1 0.0000 0.0000 0.0000
Co1 0.0000 0.5000 0.5000
Co2 0.5000 0.0000 0.5000
Co3 0.5000 0.5000 0.0000
Sb1 0.5000 0.5000 0.5000

=====

Computed, not measured: a relaxed structure of Sm2Tm3Cd2 at the GGA-PBE level of DFT.

Output
The size of the total moment is 0.00 μB/f.u. As for the volume: 28.6 Å³/atom. As for the formation energy: -0.141 eV/atom. As for the raw total energy: -25.67 eV per cell.

a b c (Å): 8.5440 8.5440 8.5440
angles (deg): 36.75 36.75 36.75
Element x y z (fractional)
Sm1 0.0754 0.0754 0.0754
Sm2 0.9246 0.9246 0.9246
Tm1 0.3450 0.3450 0.3450
Tm2 0.5000 0.5000 0.5000
Tm3 0.6550 0.6550 0.6550
Cd1 0.2136 0.2136 0.2136
Cd2 0.7864 0.7864 0.7864

=====

Computed, not measured: a relaxed structure of Cu2NiPt8 at the GGA-PBE level of DFT.

Output
The size of the total moment is 1.24 μB/f.u. As for the volume: 14.7 Å³/atom. As for the formation energy: -0.088 eV/atom. As for the raw total energy: -63.27 eV per cell.

a b c (Å): 7.2577 7.2577 6.1381
angles (deg): 104.65 104.65 31.23
Element x y z (fractional)
Cu1 0.2273 0.2273 0.1336
Cu2 0.7727 0.7727 0.8664
Ni1 0.5000 0.5000 0.5000
Pt1 0.0471 0.0471 0.2291
Pt2 0.1370 0.1370 0.6859
Pt3 0.3187 0.3187 0.5885
Pt4 0.4056 0.4056 0.0520
Pt5 0.5944 0.5944 0.9480
Pt6 0.6813 0.6813 0.4115
Pt7 0.8630 0.8630 0.3141
Pt8 0.9529 0.9529 0.7709

=====

Computed, not measured: a relaxed structure of TaTc2Se at the GGA-PBE level of DFT.

Output
The size of the total moment is 0.00 μB/f.u. As for the volume: 16.5 Å³/atom. As for the raw total energy: -106.76 eV per cell. As for the formation energy without anion corrections: 120.3 meV/atom.

a b c (Å): 3.0690 3.0690 24.2530
angles (deg): 90.00 90.00 120.00
Element x y z (fractional)
Ta1 0.0000 0.0000 0.0000
Ta2 0.3333 0.6667 0.6667
Ta3 0.6667 0.3333 0.3333
Tc1 0.0000 0.0000 0.2498
Tc2 0.0000 0.0000 0.7502
Tc3 0.3333 0.6667 0.4168
Tc4 0.3333 0.6667 0.9165
Tc5 0.6667 0.3333 0.0835
Tc6 0.6667 0.3333 0.5832
Se1 0.0000 0.0000 0.5000
Se2 0.3333 0.6667 0.1667
Se3 0.6667 0.3333 0.8333

=====

Computed, not measured: a relaxed structure of LiNiTe2Pt at the GGA-PBE level of DFT.

Output
The size of the total moment is 0.00 μB/f.u. As for the volume: 20.2 Å³/atom. As for the raw total energy: -16.84 eV per cell. As for the formation energy without anion corrections: 636.3 meV/atom.

a b c (Å): 4.8446 4.8446 4.3016
angles (deg): 90.00 90.00 90.00
Element x y z (fractional)
Li1 0.0000 0.0000 0.0000
Ni1 0.5000 0.5000 0.5000
Te1 0.0000 0.5000 0.0000
Te2 0.5000 0.0000 0.0000
Pt1 0.0000 0.0000 0.5000